Record 1
The following is a PBE-GGA calculation of a relaxed structure of HfFe2SbMo, from Alexandria via LeMat-Bulk.

The structure in extended XYZ format:
```
5
Lattice="4.453 0.000 0.000 0.000 4.453 0.000 0.000 0.000 5.089" Properties=species:S:1:pos:R:3 pbc="T T T"
Hf 0.000 0.000 0.000
Fe 0.000 2.226 2.544
Fe 2.226 0.000 2.544
Sb 2.226 2.226 0.000
Mo 2.226 2.226 2.544
```

Summary:
Space group: P4/mmm, No. 123
Formation energy (no corrections): 1.0490 eV/atom
Electronic total energy: -7.318 eV per atom
Spin magnetization: 2.68 μB/f.u.



Record 2
The following is a PBE-GGA calculation of a relaxed structure of Hf2ScFeMo, from Alexandria via LeMat-Bulk.

The structure in extended XYZ format:
```
5
Lattice="4.980 0.000 0.000 0.000 4.980 0.000 0.000 0.000 4.336" Properties=species:S:1:pos:R:3 pbc="T T T"
Hf 0.000 2.490 0.000
Hf 2.490 0.000 0.000
Sc 0.000 0.000 0.000
Fe 2.490 2.490 2.168
Mo 0.000 0.000 2.168
```

Summary:
Space group: P4/mmm, No. 123
Energy of formation from the pure elements: 1.90 eV/atom
Electronic total energy: -7.211 eV per atom
Spin magnetization: 0.00 μB/f.u.



Record 3
The following is a PBE-GGA calculation of a relaxed structure of HfTiFeMo, from Alexandria via LeMat-Bulk.

The structure in extended XYZ format:
```
4
Lattice="0.000 3.160 3.160 3.160 0.000 3.160 3.160 3.160 0.000" Properties=species:S:1:pos:R:3 pbc="T T T"
Hf 0.000 0.000 0.000
Ti 3.160 3.160 3.160
Fe 4.740 4.740 4.740
Mo 1.580 1.580 1.580
```

Summary:
Space group: F-43m, No. 216
Energy of formation from the pure elements: -0.12 eV/atom
Electronic total energy: -9.404 eV per atom
Spin magnetization: 1.04 μB/f.u.



Record 4
The following is a PBE-GGA calculation of a relaxed structure of HfVFeMo2, from Alexandria via LeMat-Bulk.

The structure in extended XYZ format:
```
5
Lattice="4.570 0.000 0.000 0.000 4.570 0.000 0.000 0.000 4.190" Properties=species:S:1:pos:R:3 pbc="T T T"
Hf 0.000 0.000 0.000
V 2.285 2.285 2.095
Fe 2.285 2.285 0.000
Mo 0.000 2.285 2.095
Mo 2.285 0.000 2.095
```

Summary:
Space group: P4/mmm, No. 123
Energy of formation from the pure elements: 0.83 eV/atom
Electronic total energy: -9.014 eV per atom
Spin magnetization: 1.30 μB/f.u.



Record 5
The following is a PBE-GGA calculation of a relaxed structure of HfVFeMo, from Alexandria via LeMat-Bulk.

The structure in extended XYZ format:
```
4
Lattice="0.000 3.107 3.107 3.107 0.000 3.107 3.107 3.107 0.000" Properties=species:S:1:pos:R:3 pbc="T T T"
Hf 0.000 0.000 0.000
V 3.107 3.107 3.107
Fe 4.660 4.660 4.660
Mo 1.553 1.553 1.553
```

Summary:
Space group: F-43m, No. 216
Energy of formation from the pure elements: -0.07 eV/atom
Electronic total energy: -9.662 eV per atom
Spin magnetization: 0.40 μB/f.u.



Record 6
The following is a PBE-GGA calculation of a relaxed structure of HfVFe2Mo, from Alexandria via LeMat-Bulk.

The structure in extended XYZ format:
```
5
Lattice="4.459 0.000 0.000 0.000 4.459 0.000 0.000 0.000 4.421" Properties=species:S:1:pos:R:3 pbc="T T T"
Hf 0.000 0.000 0.000
V 2.229 2.229 0.000
Fe 0.000 2.229 2.211
Fe 2.229 0.000 2.211
Mo 2.229 2.229 2.211
```

Summary:
Space group: P4/mmm, No. 123
Energy of formation from the pure elements: 1.03 eV/atom
Electronic total energy: -8.335 eV per atom
Spin magnetization: 3.11 μB/f.u.